one | Computed, not measured: a relaxed structure of BPC3 at the PBE level of DFT.

```
BPC3
1.0
3.806 0.000 0.000
1.826 3.583 0.000
0.677 1.679 3.754
B P C
1 1 3
direct
0.000 0.000 0.000
0.887 0.534 0.319
0.201 0.036 0.645
0.565 0.711 0.659
0.747 0.421 0.003
```

Calculated values
D(E_F) = 0.24 states/eV/f.u.
SG = No. 1

two | Computed, not measured: a relaxed structure of BPC3 at the PBE level of DFT.

```
BPC3
1.0
2.586 0.000 0.000
0.000 2.832 0.000
0.000 0.000 5.608
B P C
1 1 3
direct
0.000 0.000 0.000
0.500 0.500 0.361
0.000 0.500 0.816
0.500 0.000 0.163
0.500 0.500 0.686
```

Calculated values
D(E_F) = 0.66 states/eV/f.u.
SG = No. 25

three | Computed, not measured: a relaxed structure of BPC3 at the PBE level of DFT.

```
BPC3
1.0
4.514 0.000 0.000
0.000 2.537 0.000
-0.083 0.000 6.215
B P C
1 1 3
direct
0.000 0.000 0.000
0.202 0.500 0.627
0.003 0.000 0.252
0.031 0.500 0.876
0.033 0.500 0.360
```

Calculated values
D(E_F) = 0.59 states/eV/f.u.
SG = No. 6

four | Computed, not measured: a relaxed structure of BPC3 at the PBE level of DFT.

```
BPC3
1.0
3.739 0.000 0.000
0.687 3.938 0.000
1.494 1.537 3.534
B P C
1 1 3
direct
0.000 0.000 0.000
0.804 0.744 0.567
0.178 0.710 0.788
0.288 0.309 0.915
0.680 0.270 0.840
```

Calculated values
D(E_F) = 0.22 states/eV/f.u.
SG = No. 1

Stability summary - winner: two; margin: 0.026 eV/atom.

one | Computed, not measured: a relaxed structure of BPC3 at the PBE level of DFT.

```
BPC3
1.0
2.719 0.000 0.000
-0.066 3.377 0.000
-0.031 -1.666 4.030
B P C
1 1 3
direct
0.000 0.000 0.000
0.251 0.446 0.672
0.017 0.920 0.344
0.498 0.265 0.997
0.500 0.653 0.331
```

Calculated values
SG = No. 1

two | Computed, not measured: a relaxed structure of BPC3 at the PBE level of DFT.

```
BPC3
1.0
2.897 0.000 0.000
-1.001 2.801 0.000
-0.887 -1.368 4.746
B P C
1 1 3
direct
0.000 0.000 0.000
0.482 0.159 0.515
0.090 0.258 0.748
0.349 0.541 0.289
0.410 0.717 0.007
```

Calculated values
SG = No. 1

Stability summary - winner: one; margin: 0.121 eV/atom.

one | Computed, not measured: a relaxed structure of BPC3 at the PBE level of DFT.

```
BPC3
1.0
0.000 4.482 4.585
1.289 0.000 4.585
1.289 4.482 0.000
B P C
1 1 3
direct
0.000 0.000 0.000
0.227 0.227 0.773
0.429 0.429 0.571
0.434 0.999 0.001
0.999 0.434 0.566
```

Calculated values
D(E_F) = 1.15 states/eV/f.u.
SG = No. 42

two | Computed, not measured: a relaxed structure of BPC3 at the PBE level of DFT.

```
BPC3
1.0
4.493 -1.288 0.000
4.493 1.288 0.000
-0.944 0.000 4.455
B P C
1 1 3
direct
0.000 0.000 0.000
0.733 0.733 0.792
0.002 0.002 0.339
0.514 0.514 0.500
0.532 0.532 0.837
```

Calculated values
D(E_F) = 1.56 states/eV/f.u.
SG = No. 8

Stability summary - winner: two; margin: 0.252 eV/atom.

one | Computed, not measured: a relaxed structure of BPC2 at the PBE level of DFT.

```
BPC2
1.0
0.000 2.497 2.497
2.497 0.000 2.497
2.497 2.497 0.000
B P C
1 1 2
direct
0.000 0.000 0.000
0.500 0.500 0.500
0.250 0.250 0.250
0.750 0.750 0.750
```

Calculated values
D(E_F) = 1.41 states/eV/f.u.
SG = No. 225

two | Computed, not measured: a relaxed structure of BPC2 at the PBE level of DFT.

```
BPC2
1.0
-2.009 2.009 4.033
2.009 -2.009 4.033
2.009 2.009 -4.033
B P C
2 2 4
direct
0.000 0.000 0.000
0.750 0.250 0.500
0.250 0.750 0.500
0.500 0.500 0.000
0.104 0.625 0.979
0.375 0.354 0.479
0.646 0.125 0.021
0.875 0.896 0.521
```

Calculated values
D(E_F) = 0.00 states/eV/f.u.
SG = No. 122

Stability summary - winner: two; margin: 2.693 eV/atom.

one | Computed, not measured: a relaxed structure of B2PPtRhC at the PBE level of DFT.

```
B2PPtRhC
1.0
2.811 0.000 0.000
1.314 3.952 0.000
0.575 0.160 6.586
B P Pt Rh C
2 1 1 1 1
direct
0.000 0.000 0.000
0.219 0.552 0.074
0.100 0.984 0.537
0.840 0.547 0.393
0.646 0.761 0.801
0.805 0.366 0.067
```

Calculated values
D(E_F) = 2.57 states/eV/f.u.
SG = No. 1

two | Computed, not measured: a relaxed structure of B2PPtRhC at the PBE level of DFT.

```
B2PPtRhC
1.0
3.473 -1.393 0.000
3.473 1.393 0.000
-1.305 0.000 7.344
B P Pt Rh C
2 1 1 1 1
direct
0.000 0.000 0.000
0.548 0.548 0.742
0.945 0.945 0.369
0.271 0.271 0.552
0.323 0.323 0.115
0.094 0.094 0.829
```

Calculated values
D(E_F) = 1.00 states/eV/f.u.
SG = No. 8

three | Computed, not measured: a relaxed structure of B2PPtRhC at the PBE level of DFT.

```
B2PPtRhC
1.0
4.883 -1.695 0.000
4.883 1.695 0.000
-2.647 0.000 4.597
B P Pt Rh C
2 1 1 1 1
direct
0.000 0.000 0.000
0.700 0.700 0.736
0.938 0.938 0.298
0.223 0.223 0.035
0.469 0.469 0.626
0.848 0.848 0.720
```

Calculated values
D(E_F) = 0.65 states/eV/f.u.
SG = No. 8

four | Computed, not measured: a relaxed structure of B2PPtRhC at the PBE level of DFT.

```
B2PPtRhC
1.0
2.841 0.000 0.000
0.919 4.851 0.000
0.940 1.773 5.125
B P Pt Rh C
2 1 1 1 1
direct
0.000 0.000 0.000
0.410 0.477 0.791
0.415 0.817 0.471
0.775 0.138 0.576
0.583 0.670 0.116
0.922 0.338 0.892
```

Calculated values
D(E_F) = 0.90 states/eV/f.u.
SG = No. 1

Stability summary - winner: four; margin: 0.075 eV/atom.